# CsBeGe2Ir

A geometry-optimized CsBeGe2Ir structure (PBE-GGA, the Alexandria database).

Lattice parameters (Å, degrees): 5.3835 5.3835 4.6415 90.00 90.00 90.00
With the nearest neighbours (Å) after each atom.
Fractional positions:
1 Cs 0.0000 0.0000 0.0000  2 Be 2.32
2 Be 0.0000 0.0000 0.5000  2 Cs 2.32
3 Ge 0.0000 0.5000 0.0000  2 Cs 2.69
4 Ge 0.5000 0.0000 0.0000  2 Cs 2.69
5 Ir 0.5000 0.5000 0.5000  8 Ge 3.55, 4 Be 3.81

Computed properties:
Total magnetic moment = 0.0 μB/cell
Energy relative to the elements = 2.7436 eV per atom
Density of states at the Fermi level = 1.119 states/eV/atom
VASP energy = -8.96 eV/cell

***

# CsKBeGe2

A geometry-optimized CsKBeGe2 structure (PBE-GGA, the Alexandria database).

Lattice parameters (Å, degrees): 4.7354 4.7354 6.1682 90.00 90.00 90.00
With the nearest neighbours (Å) after each atom.
Fractional positions:
1 Cs 0.0000 0.0000 0.0000  2 Be 3.08, 4 K 3.35
2 K 0.5000 0.5000 0.0000  4 Cs 3.35
3 Be 0.0000 0.0000 0.5000  4 Ge 2.37
4 Ge 0.0000 0.5000 0.5000  2 Be 2.37
5 Ge 0.5000 0.0000 0.5000  2 Be 2.37

Computed properties:
Total magnetic moment = 0.0 μB/cell
Energy relative to the elements = 0.3850 eV per atom
Density of states at the Fermi level = 0.430 states/eV/atom
VASP energy = -12.99 eV/cell

***

# CsMgBe2Ge

A geometry-optimized CsMgBe2Ge structure (PBE-GGA, the Alexandria database).

Lattice parameters (Å, degrees): 5.1581 5.1581 5.2453 90.00 90.00 90.00
With the nearest neighbours (Å) after each atom.
Fractional positions:
1 Cs 0.0000 0.0000 0.0000  4 Ge 3.65, 8 Be 3.68
2 Mg 0.5000 0.5000 0.5000  4 Be 2.58, 2 Ge 2.62
3 Be 0.0000 0.5000 0.5000  2 Mg 2.58
4 Be 0.5000 0.0000 0.5000  2 Mg 2.58
5 Ge 0.5000 0.5000 0.0000  2 Mg 2.62

Computed properties:
Total magnetic moment = 0.0 μB/cell
Energy relative to the elements = 1.0263 eV per atom
Density of states at the Fermi level = 0.886 states/eV/atom
VASP energy = -9.39 eV/cell

***

# CsMgBeGe2

A geometry-optimized CsMgBeGe2 structure (PBE-GGA, the Alexandria database).

Lattice parameters (Å, degrees): 4.8591 4.8591 5.1731 90.00 90.00 90.00
With the nearest neighbours (Å) after each atom.
Fractional positions:
1 Cs 0.0000 0.0000 0.0000  4 Mg 3.44, 8 Ge 3.55
2 Mg 0.5000 0.5000 0.0000  2 Be 2.59
3 Be 0.5000 0.5000 0.5000  4 Ge 2.43, 2 Mg 2.59
4 Ge 0.0000 0.5000 0.5000  2 Be 2.43
5 Ge 0.5000 0.0000 0.5000  2 Be 2.43

Computed properties:
Total magnetic moment = 0.0 μB/cell
Energy relative to the elements = 0.4328 eV per atom
Density of states at the Fermi level = 0.411 states/eV/atom
VASP energy = -13.25 eV/cell